First-principles (GGA-PBE) data for a relaxed ReAsCl2 crystal, as listed in Alexandria.

Lattice parameters (Å, degrees): 7.782 7.782 7.782 157.88 147.26 39.87
Sites, in units of the cell vectors:
Re (0.750, 0.250, 0.500)
As (0.250, 0.750, 0.500)
Cl (0.888, 0.888, 0.000)
Cl (0.612, 0.612, 0.000)

Computed properties:
**Space-group type**: Immm, No. 71
**Density**: 5.753 g cm⁻³
**Raw formation energy**: 13.5 kJ/mol of atoms